# 1
Material: Tb2GdGa3NiSn2
Method: DFT, GGA-PBE
State: relaxed

## Properties
* size of the total moment: 0.002 μB per formula unit
* E_tot: -4.68 eV/atom

Lattice parameters (Å, degrees): 4.289 12.665 7.292 90.00 90.00 90.00
Space group Amm2 (No. 38)
One atom of each set of equivalent atoms:
Tb1 0.000 0.189 0.000 (multiplicity 4)
Gd1 0.000 0.000 0.432 (multiplicity 2)
Ga1 0.500 0.000 0.031 (multiplicity 2)
Ga2 0.500 0.110 0.701 (multiplicity 4)
Ni1 0.000 0.000 0.812 (multiplicity 2)
Sn1 0.500 0.167 0.311 (multiplicity 4)



# 2
Material: PrNdTl
Method: DFT, GGA-PBE
State: relaxed

## Properties
* size of the total moment: 0.902 μB per formula unit
* E_tot: -4.03 eV/atom

Lattice parameters (Å, degrees): 7.543 7.543 7.543 90.00 90.00 90.00
Space group F-43m (No. 216)
One atom of each set of equivalent atoms:
Pr1 0.000 0.000 0.000 (multiplicity 4)
Nd1 0.000 0.000 0.500 (multiplicity 4)
Tl1 0.250 0.250 0.750 (multiplicity 4)



# 3
Material: YNiSnHg
Method: DFT, GGA-PBE
State: relaxed

## Properties
* size of the total moment: 0.004 μB per formula unit
* E_tot: -4.35 eV/atom

Lattice parameters (Å, degrees): 6.966 6.966 6.966 90.00 90.00 90.00
Space group F-43m (No. 216)
One atom of each set of equivalent atoms:
Y1 0.000 0.000 0.000 (multiplicity 4)
Ni1 0.250 0.250 0.750 (multiplicity 4)
Sn1 0.000 0.000 0.500 (multiplicity 4)
Hg1 0.250 0.250 0.250 (multiplicity 4)



# 4
Material: BaInAgSe3
Method: DFT, GGA-PBE
State: relaxed

## Properties
* E_tot: -3.90 eV/atom

Lattice parameters (Å, degrees): 8.369 4.281 9.506 90.00 105.93 90.00
Space group P2_1/m (No. 11)
One atom of each set of equivalent atoms:
Ba1 0.214 0.250 0.264 (multiplicity 2)
In1 0.322 0.750 0.855 (multiplicity 2)
Ag1 0.076 0.250 0.590 (multiplicity 2)
Se1 0.102 0.250 0.877 (multiplicity 2)
Se2 0.266 0.750 0.552 (multiplicity 2)
Se3 0.448 0.750 0.148 (multiplicity 2)



# 5
Material: TbNdNO
Method: DFT, GGA-PBE
State: relaxed

## Properties
* size of the total moment: 0.006 μB per formula unit
* E_tot: -7.73 eV/atom

Lattice parameters (Å, degrees): 6.751 8.240 5.111 90.00 90.00 90.00
Space group Pca2_1 (No. 29)
One atom of each set of equivalent atoms:
Tb1 0.074 0.120 0.000 (multiplicity 4)
Nd1 0.080 0.629 0.000 (multiplicity 4)
N1 0.064 0.634 0.500 (multiplicity 4)
O1 0.097 0.119 0.498 (multiplicity 4)



# 6
Material: SrLuTe3Au
Method: DFT, GGA-PBE
State: relaxed

## Properties
* size of the total moment: 0.003 μB per formula unit
* E_tot: -4.31 eV/atom

Lattice parameters (Å, degrees): 8.394 4.303 10.506 90.00 106.11 90.00
Space group P2_1/m (No. 11)
One atom of each set of equivalent atoms:
Sr1 0.235 0.250 0.292 (multiplicity 2)
Lu1 0.311 0.750 0.833 (multiplicity 2)
Te1 0.066 0.250 0.854 (multiplicity 2)
Te2 0.289 0.750 0.543 (multiplicity 2)
Te3 0.425 0.750 0.137 (multiplicity 2)
Au1 0.091 0.250 0.597 (multiplicity 2)



# 7
Material: HfScRe
Method: DFT, GGA-PBE
State: relaxed

## Properties
* size of the total moment: 0.001 μB per formula unit
* E_tot: -9.44 eV/atom

Lattice parameters (Å, degrees): 6.373 6.373 6.373 90.00 90.00 90.00
Space group F-43m (No. 216)
One atom of each set of equivalent atoms:
Hf1 0.000 0.000 0.000 (multiplicity 4)
Sc1 0.000 0.000 0.500 (multiplicity 4)
Re1 0.250 0.250 0.250 (multiplicity 4)



# 8
Material: LiHfZr2
Method: DFT, GGA-PBE
State: relaxed

## Properties
* size of the total moment: 0.008 μB per formula unit
* E_tot: -6.96 eV/atom

Lattice parameters (Å, degrees): 6.913 6.913 6.913 90.00 90.00 90.00
Space group F-43m (No. 216)
One atom of each set of equivalent atoms:
Li1 0.000 0.000 0.000 (multiplicity 4)
Hf1 0.250 0.250 0.250 (multiplicity 4)
Zr1 0.000 0.000 0.500 (multiplicity 4)
Zr2 0.250 0.250 0.750 (multiplicity 4)